InCoNO | GGA+U | optimized geometry

Unit cell a=3.9546 b=3.9546 c=8.0241 alpha=90.00 beta=90.00 gamma=90.02
With the nearest neighbours (Å) after each atom.
Positions (direct):
Co  0.7500  0.7500  0.0000  4 N 2.14
Co  0.2500  0.2500  0.0000  4 N 2.14
In  0.7500  0.2500  0.6288  1 N 2.17, 4 O 2.23
In  0.2500  0.7500  0.3712  1 N 2.17, 4 O 2.23
N  0.2500  0.7500  0.1005  4 Co 2.14, 1 In 2.17
N  0.7500  0.2500  0.8995  4 Co 2.14, 1 In 2.17
O  0.2500  0.2500  0.5000  4 In 2.23
O  0.7500  0.7500  0.5000  4 In 2.23

density	5.39	g cm⁻³
calculated volume	15.69	Å³/atom
excess energy over the best structure of this formula in the dataset	55	meV/atom